# 1
Below is Ac2PmPr2 after structural relaxation, with properties calculated at the GGA-PBE level.

POSCAR file:
```
Ac2PmPr2
1.0
6.6578 0.0000 0.0000
0.0000 6.1655 0.0000
-3.2822 0.0000 9.6512
Ac Pm Pr
4 2 4
direct
0.0384 0.2500 0.3961
0.1792 0.7500 0.0052
0.8208 0.2500 0.9948
0.9616 0.7500 0.6039
0.2369 0.2500 0.7976
0.7631 0.7500 0.2024
0.3708 0.7500 0.4000
0.4416 0.2500 0.2061
0.5584 0.7500 0.7939
0.6292 0.2500 0.6000
```

SG = No. 11
Crystal system = monoclinic
Energy above the most stable polymorph in this dataset = 0.000 eV per atom



# 2
Below is K2InTe after structural relaxation, with properties calculated at the GGA-PBE level.

POSCAR file:
```
K2InTe
1.0
0.0000 4.2020 4.2020
4.2020 0.0000 4.2020
4.2020 4.2020 0.0000
K In Te
2 1 1
direct
0.0000 0.0000 0.0000
0.2500 0.2500 0.2500
0.5000 0.5000 0.5000
0.7500 0.7500 0.7500
```

SG = No. 216
Formation energy (no corrections) = -0.369 eV/atom
Crystal system = cubic
Energy above the most stable polymorph in this dataset = 0.182 eV per atom



# 3
Below is Rb2VW after structural relaxation, with properties calculated at the GGA-PBE level.

POSCAR file:
```
Rb2VW
1.0
-6.7741 6.7741 2.2396
6.7741 -6.7741 2.2396
6.7741 6.7741 -2.2396
Rb V W
4 2 2
direct
0.3750 0.1856 0.3106
0.8144 0.1250 0.1894
0.8750 0.0644 0.6894
0.9356 0.6250 0.8106
0.0000 0.0000 0.0000
0.7500 0.2500 0.5000
0.2500 0.7500 0.5000
0.5000 0.5000 0.0000
```

SG = No. 122
Crystal system = tetragonal
Energy above the most stable polymorph in this dataset = 0.000 eV per atom